Entry 1:
# CaSe2I2 | Alexandria | PBE | optimized geometry
# Crystal system: tetragonal
# Density of states at the Fermi level, states/eV/cell: 0.00
# Formation energy (no corrections), eV/atom: -0.61
data_CaSe2I2
_chemical_formula_sum 'Ca2 Se4 I4'
_cell_length_a 8.277
_cell_length_b 8.277
_cell_length_c 5.380
_cell_angle_alpha 90.00
_cell_angle_beta 90.00
_cell_angle_gamma 90.00
_symmetry_space_group_name_H-M 'P 4/m b m'
_symmetry_Int_Tables_number 127
_symmetry_space_group_name_Hall '-P 4 2ab'
loop_
_atom_site_label
_atom_site_type_symbol
_atom_site_fract_x
_atom_site_fract_y
_atom_site_fract_z
_atom_site_occupancy
Ca1 Ca 0.000 0.000 0.000 1
Se1 Se 0.237 0.263 0.000 1
I1 I 0.193 0.693 0.500 1



Entry 2:
# CrAg2Ru | Alexandria | PBE | optimized geometry
# Crystal system: trigonal
# Density of states at the Fermi level, states/eV/cell: 4.27
# Distance to the lowest polymorph of the same formula, eV per formula unit: 0.04
# DFT formation energy, eV per formula unit: 1.1
data_CrAg2Ru
_chemical_formula_sum 'Cr3 Ag6 Ru3'
_cell_length_a 2.7441
_cell_length_b 2.7441
_cell_length_c 28.2768
_cell_angle_alpha 90.00
_cell_angle_beta 90.00
_cell_angle_gamma 120.00
_symmetry_space_group_name_H-M 'R 3 m'
_symmetry_Int_Tables_number 160
_symmetry_space_group_name_Hall 'R 3 -2"'
loop_
_atom_site_label
_atom_site_type_symbol
_atom_site_fract_x
_atom_site_fract_y
_atom_site_fract_z
_atom_site_occupancy
Cr1 Cr 0.0000 0.0000 0.0000 1
Ag1 Ag 0.0000 0.0000 0.2489 1
Ag2 Ag 0.0000 0.0000 0.4907 1
Ru1 Ru 0.0000 0.0000 0.7346 1



Entry 3:
# SrLiW2 | Alexandria | PBE | optimized geometry
# Crystal system: tetragonal
# Density of states at the Fermi level, states/eV/cell: 3.32
# Distance to the lowest polymorph of the same formula, eV per formula unit: 1.23
# DFT formation energy, eV per formula unit: 3.7
data_SrLiW2
_chemical_formula_sum 'Sr1 Li1 W2'
_cell_length_a 2.765
_cell_length_b 2.765
_cell_length_c 10.238
_cell_angle_alpha 90.00
_cell_angle_beta 90.00
_cell_angle_gamma 90.00
_symmetry_space_group_name_H-M 'P 4 m m'
_symmetry_Int_Tables_number 99
_symmetry_space_group_name_Hall 'P 4 -2'
loop_
_atom_site_label
_atom_site_type_symbol
_atom_site_fract_x
_atom_site_fract_y
_atom_site_fract_z
_atom_site_occupancy
Sr1 Sr 0.000 0.000 0.000 1
Li1 Li 0.500 0.500 0.703 1
W1 W 0.000 0.000 0.490 1
W2 W 0.500 0.500 0.268 1



| no. | volume (A^3/atom) |
| --- | --- |
| 1 | 36.86 |
| 2 | 15.37 |
| 3 | 19.57 |